Entry 1:
The following is a PBE-GGA calculation of a relaxed structure of Tb6PmDy2Sc3, from Alexandria via LeMat-Bulk.

* calculated total energy: -5.017 eV per atom
* space-group type: No. 12
* spin magnetization: 0.0 μB/cell

Cell lengths 6.068, 6.068, 11.494 Å; angles 95.04, 95.04, 119.97 degrees
Fractional coordinates of all 12 atoms:
1 Tb 0.079 0.413 0.240
2 Tb 0.253 0.253 0.760
3 Tb 0.413 0.079 0.240
4 Tb 0.587 0.921 0.760
5 Tb 0.747 0.747 0.240
6 Tb 0.921 0.587 0.760
7 Pm 0.500 0.500 0.500
8 Dy 0.167 0.833 0.500
9 Dy 0.833 0.167 0.500
10 Sc 0.000 0.000 0.000
11 Sc 0.333 0.667 0.000
12 Sc 0.667 0.333 0.000

Entry 2:
The following is a PBE-GGA calculation of a relaxed structure of KZnGa, from Alexandria via LeMat-Bulk.

* offset from the most stable computed form: 0.00 eV/f.u.
* calculated total energy: -1.815 eV per atom
* space-group type: No. 14
* spin magnetization: 0.0 μB/cell

Cell lengths 6.449, 6.550, 8.833 Å; angles 90.00, 111.20, 90.00 degrees
Fractional coordinates of all 12 atoms:
1 K 0.148 0.109 0.364
2 K 0.148 0.391 0.864
3 K 0.852 0.609 0.136
4 K 0.852 0.891 0.636
5 Zn 0.438 0.680 0.285
6 Zn 0.438 0.820 0.785
7 Zn 0.562 0.180 0.215
8 Zn 0.562 0.320 0.715
9 Ga 0.332 0.607 0.534
10 Ga 0.332 0.893 0.034
11 Ga 0.668 0.107 0.966
12 Ga 0.668 0.393 0.466

Entry 3:
The following is a PBE-GGA calculation of a relaxed structure of PtRhPb, from Alexandria via LeMat-Bulk.

* offset from the most stable computed form: 0.00 eV/f.u.
* calculated total energy: -5.642 eV per atom
* space-group type: No. 12
* spin magnetization: 0.0 μB/cell

Cell lengths 5.090, 5.090, 5.543 Å; angles 100.61, 100.61, 53.34 degrees
Fractional coordinates of all 6 atoms:
1 Pt 0.225 0.225 0.341
2 Pt 0.775 0.775 0.659
3 Rh 0.454 0.454 0.752
4 Rh 0.546 0.546 0.248
5 Pb 0.125 0.125 0.811
6 Pb 0.875 0.875 0.189

Entry 4:
The following is a PBE-GGA calculation of a relaxed structure of Tl2InPbI5, from Alexandria via LeMat-Bulk.

* calculated total energy: -2.692 eV per atom
* formation energy (no corrections): -0.59 eV/atom
* space-group type: No. 36
* spin magnetization: 0.0 μB/cell

Cell lengths 10.476, 10.476, 17.923 Å; angles 90.00, 90.00, 153.91 degrees
Fractional coordinates of all 18 atoms:
1 Tl 0.058 0.942 0.500
2 Tl 0.145 0.855 0.100
3 Tl 0.855 0.145 0.600
4 Tl 0.942 0.058 0.000
5 In 0.438 0.562 0.284
6 In 0.562 0.438 0.784
7 Pb 0.257 0.743 0.880
8 Pb 0.743 0.257 0.380
9 I 0.096 0.904 0.911
10 I 0.236 0.764 0.510
11 I 0.263 0.737 0.257
12 I 0.412 0.588 0.860
13 I 0.475 0.525 0.614
14 I 0.525 0.475 0.114
15 I 0.588 0.412 0.360
16 I 0.737 0.263 0.757
17 I 0.764 0.236 0.010
18 I 0.904 0.096 0.411

Entry 5:
The following is a PBE-GGA calculation of a relaxed structure of Sm3Er5Pb2, from Alexandria via LeMat-Bulk.

* calculated total energy: -4.425 eV per atom
* space-group type: No. 72
* spin magnetization: 0.0 μB/cell

Cell lengths 10.633, 10.633, 10.633 Å; angles 106.19, 84.34, 145.07 degrees
Fractional coordinates of all 20 atoms:
1 Sm 0.225 0.123 0.348
2 Sm 0.250 0.250 0.000
3 Sm 0.275 0.623 0.898
4 Sm 0.725 0.377 0.102
5 Sm 0.750 0.750 0.000
6 Sm 0.775 0.877 0.652
7 Er 0.162 0.396 0.558
8 Er 0.250 0.503 0.253
9 Er 0.250 0.750 0.500
10 Er 0.250 0.997 0.747
11 Er 0.338 0.896 0.233
12 Er 0.662 0.104 0.767
13 Er 0.750 0.003 0.253
14 Er 0.750 0.250 0.500
15 Er 0.750 0.497 0.747
16 Er 0.838 0.604 0.442
17 Pb 0.149 0.858 0.007
18 Pb 0.351 0.358 0.709
19 Pb 0.649 0.642 0.291
20 Pb 0.851 0.142 0.993

Entry 6:
The following is a PBE-GGA calculation of a relaxed structure of NaMg2InF8, from Alexandria via LeMat-Bulk.

* calculated total energy: -4.918 eV per atom
* formation energy (no corrections): -3.07 eV/atom
* space-group type: No. 10
* spin magnetization: 0.1 μB/cell

Cell lengths 4.906, 6.475, 4.912 Å; angles 90.00, 90.61, 90.00 degrees
Fractional coordinates of all 12 atoms:
1 Na 0.000 0.000 0.000
2 Mg 0.500 0.239 0.500
3 Mg 0.500 0.761 0.500
4 In 0.000 0.500 0.000
5 F 0.212 0.269 0.210
6 F 0.212 0.731 0.210
7 F 0.309 0.500 0.689
8 F 0.318 0.000 0.680
9 F 0.682 0.000 0.320
10 F 0.691 0.500 0.311
11 F 0.788 0.269 0.790
12 F 0.788 0.731 0.790

Entry 7:
The following is a PBE-GGA calculation of a relaxed structure of MgHg2P, from Alexandria via LeMat-Bulk.

* calculated total energy: -1.665 eV per atom
* space-group type: No. 65
* spin magnetization: 0.0 μB/cell

Cell lengths 3.261, 3.261, 8.248 Å; angles 90.00, 90.00, 103.76 degrees
Fractional coordinates of all 4 atoms:
1 Mg 0.000 0.000 0.000
2 Hg 0.500 0.500 0.253
3 Hg 0.500 0.500 0.747
4 P 0.000 0.000 0.500

Entry 8:
The following is a PBE-GGA calculation of a relaxed structure of Ag2PdPt2, from Alexandria via LeMat-Bulk.

* offset from the most stable computed form: 0.00 eV/f.u.
* calculated total energy: -4.343 eV per atom
* space-group type: No. 127
* spin magnetization: 0.0 μB/cell

Cell lengths 6.712, 6.712, 4.013 Å; angles 90.00, 90.00, 90.00 degrees
Fractional coordinates of all 10 atoms:
1 Ag 0.168 0.332 0.000
2 Ag 0.332 0.832 0.000
3 Ag 0.668 0.168 0.000
4 Ag 0.832 0.668 0.000
5 Pd 0.000 0.000 0.500
6 Pd 0.500 0.500 0.500
7 Pt 0.134 0.634 0.500
8 Pt 0.366 0.134 0.500
9 Pt 0.634 0.866 0.500
10 Pt 0.866 0.366 0.500

Entry 9:
The following is a PBE-GGA calculation of a relaxed structure of CaIn2Pb, from Alexandria via LeMat-Bulk.

* calculated total energy: -3.006 eV per atom
* space-group type: No. 216
* spin magnetization: 0.0 μB/cell

Cell lengths 5.487, 5.487, 5.487 Å; angles 60.00, 60.00, 60.00 degrees
Fractional coordinates of all 4 atoms:
1 Ca 0.000 0.000 0.000
2 In 0.500 0.500 0.500
3 In 0.750 0.750 0.750
4 Pb 0.250 0.250 0.250

Entry 10:
The following is a PBE-GGA calculation of a relaxed structure of Mg2VPd8, from Alexandria via LeMat-Bulk.

* offset from the most stable computed form: 2.05 eV/f.u.
* calculated total energy: -5.103 eV per atom
* space-group type: No. 65
* spin magnetization: 0.9 μB/cell

Cell lengths 6.611, 6.611, 4.212 Å; angles 90.00, 90.00, 105.59 degrees
Fractional coordinates of all 11 atoms:
1 Mg 0.129 0.871 0.000
2 Mg 0.871 0.129 0.000
3 V 0.500 0.500 0.500
4 Pd 0.173 0.173 0.500
5 Pd 0.198 0.458 0.000
6 Pd 0.260 0.740 0.500
7 Pd 0.458 0.198 0.000
8 Pd 0.542 0.802 0.000
9 Pd 0.740 0.260 0.500
10 Pd 0.802 0.542 0.000
11 Pd 0.827 0.827 0.500

Entry 11:
The following is a PBE-GGA calculation of a relaxed structure of ThSc6In, from Alexandria via LeMat-Bulk.

* calculated total energy: -6.113 eV per atom
* space-group type: No. 123
* spin magnetization: 1.3 μB/cell

Cell lengths 4.657, 4.657, 9.136 Å; angles 90.00, 90.00, 90.00 degrees
Fractional coordinates of all 8 atoms:
1 Th 0.000 0.000 0.000
2 Sc 0.000 0.500 0.257
3 Sc 0.000 0.500 0.743
4 Sc 0.500 0.000 0.257
5 Sc 0.500 0.000 0.743
6 Sc 0.500 0.500 0.000
7 Sc 0.500 0.500 0.500
8 In 0.000 0.000 0.500

Entry 12:
The following is a PBE-GGA calculation of a relaxed structure of Si2AsIr, from Alexandria via LeMat-Bulk.

* calculated total energy: -6.067 eV per atom
* formation energy (no corrections): 0.02 eV/atom
* space-group type: No. 8
* spin magnetization: 0.0 μB/cell

Cell lengths 4.144, 4.144, 5.864 Å; angles 111.12, 111.12, 47.35 degrees
Fractional coordinates of all 4 atoms:
1 Si 0.000 0.000 0.000
2 Si 0.211 0.211 0.797
3 As 0.546 0.546 0.425
4 Ir 0.759 0.759 0.168